[1]
PuZrZnAg after structural relaxation. Source: Alexandria via LeMat-Bulk, functional PBE.

Calculated values
**Formation energy from the elements**: 0.06 eV per atom
**Space group**: F-43m

Cell and atoms, written as CIF:
```
data_PuZrZnAg
_chemical_formula_sum 'Pu4 Zr4 Zn4 Ag4'
_cell_length_a 7.0352
_cell_length_b 7.0352
_cell_length_c 7.0352
_cell_angle_alpha 90.00
_cell_angle_beta 90.00
_cell_angle_gamma 90.00
_space_group_name_H-M_alt 'P 1'
_space_group_IT_number 1
loop_
_space_group_symop_operation_xyz
'x,y,z'
loop_
_atom_site_label
_atom_site_type_symbol
_atom_site_fract_x
_atom_site_fract_y
_atom_site_fract_z
Pu1 Pu 0.0000 0.0000 0.0000
Pu2 Pu 0.0000 0.5000 0.5000
Pu3 Pu 0.5000 0.0000 0.5000
Pu4 Pu 0.5000 0.5000 0.0000
Zr1 Zr 0.0000 0.0000 0.5000
Zr2 Zr 0.0000 0.5000 0.0000
Zr3 Zr 0.5000 0.0000 0.0000
Zr4 Zr 0.5000 0.5000 0.5000
Zn1 Zn 0.2500 0.2500 0.7500
Zn2 Zn 0.2500 0.7500 0.2500
Zn3 Zn 0.7500 0.2500 0.2500
Zn4 Zn 0.7500 0.7500 0.7500
Ag1 Ag 0.2500 0.2500 0.2500
Ag2 Ag 0.2500 0.7500 0.7500
Ag3 Ag 0.7500 0.2500 0.7500
Ag4 Ag 0.7500 0.7500 0.2500
```

[2]
PuZrAg after structural relaxation. Source: Alexandria via LeMat-Bulk, functional PBE.

Calculated values
**Formation energy from the elements**: 0.07 eV per atom
**Space group**: I4mm

Cell and atoms, written as CIF:
```
data_PuZrAg
_chemical_formula_sum 'Pu2 Zr2 Ag2'
_cell_length_a 3.1018
_cell_length_b 3.1018
_cell_length_c 13.9734
_cell_angle_alpha 90.00
_cell_angle_beta 90.00
_cell_angle_gamma 90.00
_space_group_name_H-M_alt 'P 1'
_space_group_IT_number 1
loop_
_space_group_symop_operation_xyz
'x,y,z'
loop_
_atom_site_label
_atom_site_type_symbol
_atom_site_fract_x
_atom_site_fract_y
_atom_site_fract_z
Pu1 Pu 0.0000 0.0000 0.0000
Pu2 Pu 0.5000 0.5000 0.5000
Zr1 Zr 0.0000 0.0000 0.3264
Zr2 Zr 0.5000 0.5000 0.8264
Ag1 Ag 0.0000 0.0000 0.6738
Ag2 Ag 0.5000 0.5000 0.1738
```

[3]
PuZrAg2 after structural relaxation. Source: Alexandria via LeMat-Bulk, functional PBE.

Calculated values
**Formation energy from the elements**: 0.12 eV per atom
**Space group**: P4/mmm
**Energy above the lowest structure with this stoichiometry**: 83.3 meV/atom

Cell and atoms, written as CIF:
```
data_PuZrAg2
_chemical_formula_sum 'Pu1 Zr1 Ag2'
_cell_length_a 4.3952
_cell_length_b 4.3952
_cell_length_c 4.4659
_cell_angle_alpha 90.00
_cell_angle_beta 90.00
_cell_angle_gamma 90.00
_space_group_name_H-M_alt 'P 1'
_space_group_IT_number 1
loop_
_space_group_symop_operation_xyz
'x,y,z'
loop_
_atom_site_label
_atom_site_type_symbol
_atom_site_fract_x
_atom_site_fract_y
_atom_site_fract_z
Pu1 Pu 0.0000 0.0000 0.0000
Zr1 Zr 0.5000 0.5000 0.0000
Ag1 Ag 0.0000 0.5000 0.5000
Ag2 Ag 0.5000 0.0000 0.5000
```

[4]
Pu2ZrAg after structural relaxation. Source: Alexandria via LeMat-Bulk, functional PBE.

Calculated values
**Formation energy from the elements**: 0.17 eV per atom
**Space group**: P4/mmm
**Energy above the lowest structure with this stoichiometry**: 0.0 meV/atom

Cell and atoms, written as CIF:
```
data_Pu2ZrAg
_chemical_formula_sum 'Pu2 Zr1 Ag1'
_cell_length_a 4.3168
_cell_length_b 4.3168
_cell_length_c 4.9462
_cell_angle_alpha 90.00
_cell_angle_beta 90.00
_cell_angle_gamma 90.00
_space_group_name_H-M_alt 'P 1'
_space_group_IT_number 1
loop_
_space_group_symop_operation_xyz
'x,y,z'
loop_
_atom_site_label
_atom_site_type_symbol
_atom_site_fract_x
_atom_site_fract_y
_atom_site_fract_z
Pu1 Pu 0.0000 0.5000 0.0000
Pu2 Pu 0.5000 0.0000 0.0000
Zr1 Zr 0.0000 0.0000 0.5000
Ag1 Ag 0.5000 0.5000 0.5000
```

[5]
PuZrAg2 after structural relaxation. Source: Alexandria via LeMat-Bulk, functional PBE.

Calculated values
**Formation energy from the elements**: 0.04 eV per atom
**Space group**: P4/mmm
**Energy above the lowest structure with this stoichiometry**: 0.0 meV/atom

Cell and atoms, written as CIF:
```
data_PuZrAg2
_chemical_formula_sum 'Pu1 Zr1 Ag2'
_cell_length_a 3.0862
_cell_length_b 3.0862
_cell_length_c 8.9801
_cell_angle_alpha 90.00
_cell_angle_beta 90.00
_cell_angle_gamma 90.00
_space_group_name_H-M_alt 'P 1'
_space_group_IT_number 1
loop_
_space_group_symop_operation_xyz
'x,y,z'
loop_
_atom_site_label
_atom_site_type_symbol
_atom_site_fract_x
_atom_site_fract_y
_atom_site_fract_z
Pu1 Pu 0.0000 0.0000 0.0000
Zr1 Zr 0.0000 0.0000 0.5000
Ag1 Ag 0.5000 0.5000 0.2659
Ag2 Ag 0.5000 0.5000 0.7341
```

[6]
PuZrAg4 after structural relaxation. Source: Alexandria via LeMat-Bulk, functional PBE.

Calculated values
**Formation energy from the elements**: 0.14 eV per atom
**Space group**: F-43m

Cell and atoms, written as CIF:
```
data_PuZrAg4
_chemical_formula_sum 'Pu1 Zr1 Ag4'
_cell_length_a 5.6126
_cell_length_b 5.6126
_cell_length_c 5.6126
_cell_angle_alpha 60.00
_cell_angle_beta 60.00
_cell_angle_gamma 60.00
_space_group_name_H-M_alt 'P 1'
_space_group_IT_number 1
loop_
_space_group_symop_operation_xyz
'x,y,z'
loop_
_atom_site_label
_atom_site_type_symbol
_atom_site_fract_x
_atom_site_fract_y
_atom_site_fract_z
Pu1 Pu 0.0000 0.0000 0.0000
Zr1 Zr 0.7500 0.7500 0.7500
Ag1 Ag 0.3753 0.3753 0.3753
Ag2 Ag 0.3753 0.3753 0.8741
Ag3 Ag 0.3753 0.8741 0.3753
Ag4 Ag 0.8741 0.3753 0.3753
```